No. 1
A geometry-optimized SrZrMo2N structure, computed with GGA-PBEsol.

Structure (POSCAR):
```
SrZrMo2N
1.0
4.2541 0.0000 0.0000
0.0000 5.0837 0.0000
0.0000 0.0000 5.0837
Sr Mo Zr N
1 2 1 1
Direct
0.5000 0.5000 0.5000
0.0000 0.0000 0.5000
0.0000 0.5000 0.0000
0.0000 0.0000 0.0000
0.5000 0.0000 0.0000
```

Energy in eV/atom: -7.06
Space group: P4/mmm, No. 123

***

No. 2
A geometry-optimized TiS2NF structure, computed with GGA-PBEsol.

Structure (POSCAR):
```
TiS2NF
1.0
-0.8148 0.9160 3.4746
3.8858 -1.1186 1.2060
1.3547 3.9311 -0.7186
N S F Ti
1 2 1 1
Direct
0.5000 0.0000 0.0000
0.0000 0.0000 0.5000
0.0000 0.5000 0.0000
0.0000 0.0000 0.0000
0.5000 0.5000 0.5000
```

Energy in eV/atom: -4.70
Space group: P4/mmm, No. 123

***

No. 3
A geometry-optimized LiCaSb2 structure, computed with GGA-PBEsol.

Structure (POSCAR):
```
LiCaSb2
1.0
3.9893 0.0000 0.0000
0.0000 4.6665 0.0000
-1.9947 -2.3333 5.3439
Sb Ca Li
2 1 1
Direct
0.0120 0.0120 0.0240
0.7341 0.2341 0.4682
0.4965 0.4965 0.9930
0.2574 0.7574 0.5148
```

ΔE to the lowest computed polymorph in eV/f.u.: 0.37
Space group: Imm2, No. 44

***

No. 4
A geometry-optimized Ti3BiTe structure, computed with GGA-PBEsol.

Structure (POSCAR):
```
Ti3BiTe
1.0
5.1963 0.0000 0.0000
0.0000 5.1963 0.0000
0.0000 0.0000 5.1963
Te Bi Ti
1 1 3
Direct
0.5000 0.5000 0.5000
0.0000 0.0000 0.0000
0.0000 0.5000 0.0000
0.0000 0.0000 0.5000
0.5000 0.0000 0.0000
```

Energy in eV/atom: -5.62
Space group: Pm-3m, No. 221

***

No. 5
A geometry-optimized Mn3Cr3Te2O16 structure, computed with GGA-PBEsol.

Structure (POSCAR):
```
Mn3Cr3Te2O16
1.0
5.7118 0.0196 -0.0285
2.8618 4.9431 -0.0285
-0.0786 -0.0455 9.6563
Mn Cr Te O
3 3 2 16
Direct
0.8304 0.8304 0.7848
0.1689 0.6611 0.2835
0.6611 0.1689 0.2835
0.3450 0.8240 0.7808
0.8240 0.3450 0.7808
0.1705 0.1705 0.2812
0.6675 0.6675 0.5011
0.3322 0.3322 0.0001
0.3184 0.8408 0.3960
0.5138 0.5138 0.6676
0.6701 0.6701 0.8890
0.9987 0.9987 0.6961
0.9958 0.9958 0.1897
0.8408 0.3184 0.3960
0.5157 0.9716 0.6770
0.9716 0.5157 0.6770
0.1590 0.1590 0.8953
0.8411 0.8411 0.3946
0.0278 0.4864 0.1769
0.4864 0.0278 0.1769
0.3373 0.3373 0.3867
0.1628 0.6764 0.8959
0.4853 0.4853 0.1777
0.6764 0.1628 0.8959
```

Energy in eV/atom: -7.79
Space group: Cm, No. 8

***

No. 6
A geometry-optimized BaCdPb2 structure, computed with GGA-PBEsol.

Structure (POSCAR):
```
BaCdPb2
1.0
4.8781 0.0000 0.0000
0.0000 5.0000 0.0000
0.0000 0.0000 5.0000
Pb Ba Cd
2 1 1
Direct
0.0000 0.0000 0.5000
0.0000 0.5000 0.0000
0.5000 0.5000 0.5000
0.5000 0.0000 0.0000
```

E_form in eV/atom: -0.30
Space group: P4/mmm, No. 123

***

No. 7
A geometry-optimized NbSn3Pd structure, computed with GGA-PBEsol.

Structure (POSCAR):
```
NbSn3Pd
1.0
-4.1976 -1.6649 2.6582
-2.3695 -1.2265 -4.5098
2.0551 -4.8147 0.2296
Nb Sn Pd
1 3 1
Direct
0.0000 0.0000 0.0000
0.0000 0.5000 0.0000
0.0000 0.0000 0.5000
0.5000 0.0000 0.0000
0.5000 0.5000 0.5000
```

E_form in eV/atom: 0.72
Space group: Pm-3m, No. 221

***

No. 8
A geometry-optimized TiHg2PdBr structure, computed with GGA-PBEsol.

Structure (POSCAR):
```
TiHg2PdBr
1.0
-4.3437 -1.8378 0.7743
2.1393 -4.1444 2.1650
-0.1611 2.3141 4.5890
Br Hg Pd Ti
1 2 1 1
Direct
0.5000 0.5000 0.5000
0.0000 0.0000 0.5000
0.0000 0.5000 0.0000
0.0000 0.0000 0.0000
0.5000 0.0000 0.0000
```

Energy in eV/atom: -3.31
Space group: P4/mmm, No. 123

***

No. 9
A geometry-optimized MoRh3Au structure, computed with GGA-PBEsol.

Structure (POSCAR):
```
MoRh3Au
1.0
4.5557 0.0000 0.0000
0.0000 4.5557 0.0000
0.0000 0.0000 4.5557
Rh Mo Au
3 1 1
Direct
0.0000 0.5000 0.0000
0.0000 0.0000 0.5000
0.5000 0.0000 0.0000
0.0000 0.0000 0.0000
0.5000 0.5000 0.5000
```

E_form in eV/atom: 1.26
Space group: Pm-3m, No. 221

***

No. 10
A geometry-optimized SrIn2As structure, computed with GGA-PBEsol.

Structure (POSCAR):
```
SrIn2As
1.0
3.7891 0.0000 0.0000
0.0000 3.7891 0.0000
0.0000 0.0000 7.2258
Sr As In
1 1 2
Direct
0.5000 0.5000 0.0000
0.5000 0.5000 0.5000
0.0000 0.0000 0.6988
0.0000 0.0000 0.3012
```

E_form in eV/atom: -0.30
Space group: P4/mmm, No. 123

***

No. 11
A geometry-optimized MnBe2Re structure, computed with GGA-PBEsol.

Structure (POSCAR):
```
MnBe2Re
1.0
-3.5605 -1.4503 0.1556
-1.1930 -2.4653 -2.7025
-0.5301 -3.7085 0.8779
Re Mn Be
1 1 2
Direct
0.5000 0.5000 0.5000
0.0000 0.0000 0.0000
0.2500 0.2500 0.2500
0.7500 0.7500 0.7500
```

ΔE to the lowest computed polymorph in eV/f.u.: 1.09
E_form in eV/atom: 0.17
Space group: Fm-3m, No. 225

***

No. 12
A geometry-optimized Sr7Cu2HgBiSbO15 structure, computed with GGA-PBEsol.

Structure (POSCAR):
```
Sr7Cu2HgBiSbO15
1.0
-1.9504 -0.7649 7.3082
-3.2508 -8.0341 -1.7085
10.3161 -4.6559 2.2658
Sr Cu Hg Bi Sb O
14 4 2 2 2 30
Direct
0.5000 0.2919 0.0000
0.0000 0.2919 0.0000
0.5000 0.7081 0.0000
0.0000 0.7081 0.0000
0.4922 0.2905 0.6581
0.5078 0.2905 0.3419
0.0078 0.2905 0.6581
0.9922 0.2905 0.3419
0.5078 0.7095 0.3419
0.4922 0.7095 0.6581
0.9922 0.7095 0.3419
0.0078 0.7095 0.6581
0.7500 0.0000 0.8372
0.2500 0.0000 0.1628
0.2500 0.5000 0.8288
0.7500 0.5000 0.1712
0.7500 0.5000 0.4977
0.2500 0.5000 0.5023
0.7500 0.0000 0.4978
0.2500 0.0000 0.5022
0.2500 0.0000 0.8335
0.7500 0.0000 0.1665
0.7500 0.5000 0.8297
0.2500 0.5000 0.1703
0.7500 0.2724 0.8310
0.2500 0.2724 0.1690
0.2500 0.7276 0.1690
0.7500 0.7276 0.8310
0.7500 0.5000 0.9999
0.2500 0.5000 0.0001
0.5000 0.0000 0.0000
0.0000 0.0000 0.0000
0.7500 0.2282 0.5029
0.2500 0.2282 0.4971
0.2500 0.7718 0.4971
0.7500 0.7718 0.5029
0.7500 0.5000 0.6616
0.2500 0.5000 0.3384
0.4933 0.5000 0.8315
0.5067 0.5000 0.1685
0.0067 0.5000 0.8315
0.9933 0.5000 0.1685
0.2500 0.5000 0.6631
0.7500 0.5000 0.3369
0.4675 0.0000 0.7170
0.5325 0.0000 0.2830
0.0325 0.0000 0.7170
0.9675 0.0000 0.2830
0.2500 0.2415 0.8432
0.7500 0.2415 0.1568
0.7500 0.7585 0.1568
0.2500 0.7585 0.8432
0.5000 0.5000 0.5000
0.0000 0.5000 0.5000
```

Energy in eV/atom: -6.06
Space group: Pmma, No. 51

***

No. 13
A geometry-optimized YTaIr2 structure, computed with GGA-PBEsol.

Structure (POSCAR):
```
YTaIr2
1.0
4.5642 0.0000 0.0000
2.2821 3.9527 0.0000
2.2821 1.3176 3.7266
Ir Ta Y
2 1 1
Direct
0.0000 0.0000 0.0000
0.7500 0.7500 0.7500
0.5000 0.5000 0.5000
0.2500 0.2500 0.2500
```

E_form in eV/atom: -0.07
Space group: F-43m, No. 216

***

No. 14
A geometry-optimized InCu2Ru structure, computed with GGA-PBEsol.

Structure (POSCAR):
```
InCu2Ru
1.0
-1.0837 -1.7334 -1.8850
-0.8904 -2.5175 0.7759
-8.5020 1.8275 1.1564
Cu In Ru
2 1 1
Direct
0.2546 0.2546 0.2363
0.7454 0.7454 0.7637
0.5000 0.5000 0.5000
0.0000 0.0000 0.0000
```

E_form in eV/atom: 0.40
Space group: R-3m, No. 166

***

No. 15
A geometry-optimized Y2HfF structure, computed with GGA-PBEsol.

Structure (POSCAR):
```
Y2HfF
1.0
-2.2734 2.9230 -3.4838
1.3014 -0.4041 -4.8982
-3.2401 -2.0661 -3.3290
Y Hf F
2 1 1
Direct
0.2500 0.2500 0.2500
0.7500 0.7500 0.7500
0.5000 0.5000 0.5000
0.0000 0.0000 0.0000
```

Energy in eV/atom: -6.52
Space group: Fm-3m, No. 225

***

No. 16
A geometry-optimized K2Ag2Au structure, computed with GGA-PBEsol.

Structure (POSCAR):
```
K2Ag2Au
1.0
3.8044 0.0000 0.0000
0.0000 3.8044 0.0000
-1.9022 -1.9022 9.6672
K Au Ag
2 1 2
Direct
0.3979 0.3979 0.7958
0.6021 0.6021 0.2042
0.0000 0.0000 0.0000
0.2500 0.7500 0.5000
0.7500 0.2500 0.5000
```

E_form in eV/atom: 0.05
Space group: I4/mmm, No. 139

***

No. 17
A geometry-optimized MnCo3Ru structure, computed with GGA-PBEsol.

Structure (POSCAR):
```
MnCo3Ru
1.0
4.0349 0.0000 0.0000
0.0000 4.0349 0.0000
0.0000 0.0000 4.0349
Ru Mn Co
1 1 3
Direct
0.5000 0.5000 0.5000
0.0000 0.0000 0.0000
0.0000 0.5000 0.0000
0.0000 0.0000 0.5000
0.5000 0.0000 0.0000
```

E_form in eV/atom: 1.42
Space group: Pm-3m, No. 221

***

No. 18
A geometry-optimized SiRh2W structure, computed with GGA-PBEsol.

Structure (POSCAR):
```
SiRh2W
1.0
2.8299 0.0000 0.0000
0.0000 2.8299 0.0000
0.0000 0.0000 6.8095
Rh Si W
2 1 1
Direct
0.0000 0.0000 0.9904
0.5000 0.5000 0.2883
0.0000 0.0000 0.4826
0.5000 0.5000 0.7387
```

Energy in eV/atom: -9.35
Space group: P4mm, No. 99

***

No. 19
A geometry-optimized Mn2SbH structure, computed with GGA-PBEsol.

Structure (POSCAR):
```
Mn2SbH
1.0
4.4169 0.0000 0.0000
0.0000 4.4169 0.0000
-2.2084 -2.2084 4.8915
Sb Mn H
2 4 2
Direct
0.2500 0.7500 0.5000
0.0000 0.0000 0.0000
0.5907 0.8750 0.2500
0.6593 0.3750 0.2500
0.1250 0.3407 0.7500
0.6250 0.4093 0.7500
0.7500 0.2500 0.5000
0.5000 0.5000 0.0000
```

Energy in eV/atom: -6.52
Space group: I-42d, No. 122

***

No. 20
A geometry-optimized CsMo3O9 structure, computed with GGA-PBEsol.

Structure (POSCAR):
```
CsMo3O9
1.0
-5.5764 1.6281 2.6591
-1.9143 -7.4180 0.5273
4.8392 3.2104 6.8154
Cs Mo O
2 6 18
Direct
0.8286 0.6984 0.3967
0.1714 0.3016 0.6033
0.2704 0.7922 0.1054
0.7296 0.6868 0.8946
0.7296 0.2078 0.8946
0.2704 0.3132 0.1054
0.3553 0.8914 0.7828
0.6447 0.1086 0.2172
0.5924 0.8359 0.1474
0.4076 0.6885 0.8526
0.4076 0.1641 0.8526
0.5924 0.3115 0.1474
0.2172 0.8901 0.3060
0.7828 0.5840 0.6940
0.7828 0.1099 0.6940
0.2172 0.4160 0.3060
0.0000 0.2586 0.0000
0.0000 0.7414 0.0000
0.5372 0.2018 0.4036
0.4628 0.7982 0.5964
0.9079 0.1330 0.2659
0.0921 0.8670 0.7341
0.2954 0.5348 0.0695
0.7046 0.4652 0.9305
0.3106 0.0354 0.0708
0.6894 0.9646 0.9292
```

Energy in eV/atom: -8.46
Space group: C2/m, No. 12

***

No. 21
A geometry-optimized Ce2ZrO6 structure, computed with GGA-PBEsol.

Structure (POSCAR):
```
Ce2ZrO6
1.0
5.2826 0.0000 0.0000
-2.6413 5.9174 0.0121
0.0000 -2.3906 7.0920
Ce Zr O
4 2 12
Direct
0.1667 0.0000 0.5000
0.1665 0.0000 0.0000
0.8339 0.3343 0.3301
0.4996 0.6657 0.6699
0.8354 0.3374 0.8365
0.4980 0.6626 0.1635
0.5922 0.3347 0.5920
0.2438 0.6558 0.9218
0.9047 0.9910 0.2456
0.4276 0.0082 0.7545
0.0892 0.3434 0.0786
0.7414 0.6649 0.4084
0.4194 0.9918 0.2455
0.0765 0.3351 0.5916
0.7458 0.6566 0.9214
0.5881 0.3442 0.0782
0.2575 0.6653 0.4080
0.9137 0.0090 0.7544
```

ΔE to the lowest computed polymorph in eV/f.u.: 0.09
Space group: C2/m, No. 12

***

No. 22
A geometry-optimized BHW2Se structure, computed with GGA-PBEsol.

Structure (POSCAR):
```
BHW2Se
1.0
-0.9884 2.3929 -2.9126
1.8075 -2.9471 -3.0345
-4.0660 -2.1205 -0.3624
H B Se W
1 1 1 2
Direct
0.5000 0.5000 0.5000
0.5000 0.0000 0.0000
0.0000 0.0000 0.0000
0.0000 0.0000 0.5000
0.0000 0.5000 0.0000
```

Energy in eV/atom: -5.72
Space group: P4/mmm, No. 123

***

No. 23
A geometry-optimized SbTeAs2 structure, computed with GGA-PBEsol.

Structure (POSCAR):
```
SbTeAs2
1.0
-2.8638 -1.5162 -1.4658
1.1091 -4.4843 2.4717
-1.7951 4.4123 3.2579
Sb As Te
1 2 1
Direct
0.0000 0.5000 0.0000
0.7475 0.7475 0.4951
0.2525 0.2525 0.5049
0.5000 0.0000 0.0000
```

ΔE to the lowest computed polymorph in eV/f.u.: 1.19
Space group: Immm, No. 71